(1)
# SrIn2Ru | the Alexandria database | PBE | relaxed
# Theoretical density in g/cm³: 7.7
# Crystal system: cubic
# Calculated total energy in eV/atom: -3.993
# DOS at the Fermi energy in states/eV per atom: 1.303
data_SrIn2Ru
_chemical_formula_sum 'Sr4 In8 Ru4'
_cell_length_a 7.129
_cell_length_b 7.129
_cell_length_c 7.129
_cell_angle_alpha 90.00
_cell_angle_beta 90.00
_cell_angle_gamma 90.00
_symmetry_space_group_name_H-M 'F m -3 m'
_symmetry_Int_Tables_number 225
_symmetry_space_group_name_Hall '-F 4 2 3'
loop_
_atom_site_label
_atom_site_fract_x
_atom_site_fract_y
_atom_site_fract_z
_atom_site_occupancy
Sr1 0.000 0.000 0.000 1
In1 0.250 0.250 0.250 1
Ru1 0.000 0.000 0.500 1



(2)
# ScPa2Pd9 | the Alexandria database | PBE | relaxed
# Theoretical density in g/cm³: 11.7
# Crystal system: tetragonal
# Calculated total energy in eV/atom: -6.795
# DOS at the Fermi energy in states/eV per atom: 0.744
data_ScPa2Pd9
_chemical_formula_sum 'Sc1 Pa2 Pd9'
_cell_length_a 4.121
_cell_length_b 4.121
_cell_length_c 12.261
_cell_angle_alpha 90.00
_cell_angle_beta 90.00
_cell_angle_gamma 90.00
_symmetry_space_group_name_H-M 'P 4/m m m'
_symmetry_Int_Tables_number 123
_symmetry_space_group_name_Hall '-P 4 2'
loop_
_atom_site_label
_atom_site_fract_x
_atom_site_fract_y
_atom_site_fract_z
_atom_site_occupancy
Sc1 0.000 0.000 0.000 1
Pa1 0.000 0.000 0.327 1
Pd1 0.000 0.500 0.162 1
Pd2 0.000 0.500 0.500 1
Pd3 0.500 0.500 0.000 1
Pd4 0.500 0.500 0.331 1